(1)
Entry from Alexandria: a relaxed structure of RbSbRu2S (GGA-PBE).

Computed properties:
The spin magnetization is 3.68 Bohr magnetons per cell. The uncorrected formation energy is 0.9781 eV/atom. The space group is P4/mmm, No. 123.

a = 5.0089 Å, b = 5.6393 Å, c = 5.0089 Å
α = 90.00°, β = 90.00°, γ = 90.00°
Last column: nearest neighbours and their distance in Å.
Element x y z (fractional)
Rb  0.5000  0.5000  0.5000  4 S 3.54, 8 Ru 3.77
Sb  0.0000  0.0000  0.0000  4 Ru 2.50
Ru  0.0000  0.0000  0.5000  2 Sb 2.50
Ru  0.5000  0.0000  0.0000  2 Sb 2.50
S  0.0000  0.5000  0.0000  2 Sb 2.82

---

(2)
Entry from Alexandria: a relaxed structure of Rb2TcRuS (GGA-PBE).

Computed properties:
The spin magnetization is 5.07 Bohr magnetons per cell. The uncorrected formation energy is 1.1086 eV/atom. The space group is P4/mmm, No. 123.

a = 6.4771 Å, b = 4.4125 Å, c = 6.4771 Å
α = 90.00°, β = 90.00°, γ = 90.00°
Last column: nearest neighbours and their distance in Å.
Element x y z (fractional)
Tc  0.0000  0.5000  0.0000  2 S 2.21
Ru  0.5000  0.5000  0.5000  8 Rb 3.92
Rb  0.0000  0.0000  0.5000  2 S 3.24
Rb  0.5000  0.0000  0.0000  2 S 3.24
S  0.0000  0.0000  0.0000  2 Tc 2.21

---

(3)
Entry from Alexandria: a relaxed structure of RbTiRuS3 (GGA-PBE).

Computed properties:
The spin magnetization is 0.00 Bohr magnetons per cell. The uncorrected formation energy is -1.0222 eV/atom. The space group is P2_1/m, No. 11.

a = 3.6018 Å, b = 8.6015 Å, c = 9.5835 Å
α = 114.57°, β = 90.00°, γ = 90.00°
Last column: nearest neighbours and their distance in Å.
Element x y z (fractional)
Ru  0.7500  0.9110  0.3893  4 S 2.27-2.43
Ru  0.2500  0.0890  0.6107  4 S 2.27-2.43
S  0.2500  0.5276  0.8665  3 Ti 2.51-2.52
S  0.7500  0.2145  0.5551  3 Ru 2.27-2.43
S  0.7500  0.4724  0.1335  3 Ti 2.51-2.52
S  0.2500  0.7855  0.4449  3 Ru 2.27-2.43
S  0.2500  0.1334  0.8693  1 Ru 2.35, 2 Ti 2.46
S  0.7500  0.8666  0.1307  1 Ru 2.35, 2 Ti 2.46
Ti  0.7500  0.3157  0.8458  6 S 2.46-2.55
Ti  0.2500  0.6843  0.1542  6 S 2.46-2.55
Rb  0.2500  0.2284  0.2453  7 S 3.27-3.52, 2 Rb 3.60
Rb  0.7500  0.7716  0.7547  7 S 3.27-3.52, 2 Rb 3.60

---

(4)
Entry from Alexandria: a relaxed structure of Rb2U2RuS6 (GGA-PBE).

Computed properties:
The spin magnetization is 4.00 Bohr magnetons per cell. The uncorrected formation energy is -1.1430 eV/atom. The space group is C2/m, No. 12.

a = 6.4167 Å, b = 6.4167 Å, c = 8.4038 Å
α = 97.81°, β = 97.81°, γ = 119.01°
Last column: nearest neighbours and their distance in Å.
Element x y z (fractional)
U  0.3326  0.6674  0.5000  6 S 2.70
U  0.6674  0.3326  0.5000  6 S 2.70
S  0.2411  0.2411  0.3143  1 Ru 2.49, 2 U 2.70
S  0.7589  0.7589  0.6857  1 Ru 2.49, 2 U 2.70
S  0.0680  0.3742  0.6868  1 Ru 2.49, 2 U 2.70
S  0.9320  0.6258  0.3132  1 Ru 2.49, 2 U 2.70
S  0.3742  0.0680  0.6868  1 Ru 2.49, 2 U 2.70
S  0.6258  0.9320  0.3132  1 Ru 2.49, 2 U 2.70
Rb  0.8271  0.1729  0.0000  6 S 3.30-3.37, 2 Rb 3.68
Rb  0.1729  0.8271  0.0000  6 S 3.30-3.37, 2 Rb 3.68
Ru  0.0000  0.0000  0.5000  6 S 2.49

---

> Among the records above, which one has the lowest spin magnetization?

RbTiRuS3